# 1
Compound: SmCuGeTe2Se
Source: OQMD
Functional: PBE
Structure: optimized geometry

Computed properties:
The theoretical density comes out at 6.57 g/cm³. The calculation puts the total energy at -4.42 eV/atom.

Structure (CIF):
```
data_SmCuGeTe2Se
_cell_length_a 4.1136
_cell_length_b 14.2383
_cell_length_c 10.7136
_cell_angle_alpha 90.00
_cell_angle_beta 90.00
_cell_angle_gamma 90.00
_symmetry_space_group_name_H-M 'C m c m'
_symmetry_Int_Tables_number 63
_symmetry_space_group_name_Hall '-C 2c 2'
loop_
_atom_site_label
_atom_site_type_symbol
_atom_site_fract_x
_atom_site_fract_y
_atom_site_fract_z
_atom_site_occupancy
Sm1 Sm 0.0000 0.0000 0.0000 1
Cu1 Cu 0.0000 0.4762 0.2500 1
Ge1 Ge 0.0000 0.2407 0.7500 1
Te1 Te 0.0000 0.3437 0.0735 1
Se1 Se 0.0000 0.0805 0.2500 1
```

# 2
Compound: TbCuGeTe2Se
Source: OQMD
Functional: PBE
Structure: optimized geometry

Computed properties:
The theoretical density comes out at 6.84 g/cm³. The calculation puts the total energy at -4.41 eV/atom.

Structure (CIF):
```
data_TbCuGeTe2Se
_cell_length_a 4.0812
_cell_length_b 14.2273
_cell_length_c 10.5167
_cell_angle_alpha 90.00
_cell_angle_beta 90.00
_cell_angle_gamma 90.00
_symmetry_space_group_name_H-M 'C m c m'
_symmetry_Int_Tables_number 63
_symmetry_space_group_name_Hall '-C 2c 2'
loop_
_atom_site_label
_atom_site_type_symbol
_atom_site_fract_x
_atom_site_fract_y
_atom_site_fract_z
_atom_site_occupancy
Tb1 Tb 0.0000 0.0000 0.0000 1
Cu1 Cu 0.0000 0.4784 0.2500 1
Ge1 Ge 0.0000 0.2384 0.7500 1
Te1 Te 0.0000 0.3457 0.0706 1
Se1 Se 0.0000 0.0807 0.2500 1
```